CeIn2Pt2 (GGA-PBE, relaxed); formation energy = -69 kJ/mol of atoms; space group = P2_1/m (11); Fermi-level density of states = 1.237 states/eV per atom; M_tot = 1.3 μB/cell
1.0
-2.1224 2.4613 3.4324
-0.0294 -4.3043 3.0683
8.1323 4.2278 1.9969
In Pt Ce
4 4 2
Direct
0.2500 0.7821 0.8737 In
0.7500 0.2179 0.1263 In
0.2500 0.3554 0.5350 In
0.7500 0.6446 0.4650 In
0.7500 0.6657 0.0101 Pt
0.2500 0.3343 0.9899 Pt
0.7500 0.1083 0.3944 Pt
0.2500 0.8917 0.6056 Pt
0.2500 0.8126 0.2306 Ce
0.7500 0.1874 0.7694 Ce